Version P
# LiSc2Cl6, relaxed, DFT PBE
data_LiSc2Cl6
_cell_length_a 6.979
_cell_length_b 6.979
_cell_length_c 6.979
_cell_angle_alpha 55.49
_cell_angle_beta 55.49
_cell_angle_gamma 55.49
_symmetry_space_group_name_H-M 'P 1'
_symmetry_Int_Tables_number 1
loop_
_symmetry_equiv_pos_as_xyz
'x,y,z'
loop_
_atom_site_label
_atom_site_type_symbol
_atom_site_fract_x
_atom_site_fract_y
_atom_site_fract_z
_atom_site_occupancy
Li1 Li 0.000 0.000 0.000 1
Sc1 Sc 0.497 0.497 0.497 1
Sc2 Sc 0.670 0.670 0.670 1
Cl1 Cl 0.083 0.413 0.748 1
Cl2 Cl 0.264 0.886 0.601 1
Cl3 Cl 0.413 0.748 0.083 1
Cl4 Cl 0.601 0.264 0.886 1
Cl5 Cl 0.748 0.083 0.413 1
Cl6 Cl 0.886 0.601 0.264 1
# Crystal system: trigonal
# Density, g/cm³: 2.39
# Symmetry: R3 (146)
# Calculated volume, Å³ per atom: 23.9



Version Q
# LiSc2Cl6, relaxed, DFT PBE
data_LiSc2Cl6
_cell_length_a 7.261
_cell_length_b 7.261
_cell_length_c 7.534
_cell_angle_alpha 95.07
_cell_angle_beta 95.07
_cell_angle_gamma 41.44
_symmetry_space_group_name_H-M 'P 1'
_symmetry_Int_Tables_number 1
loop_
_symmetry_equiv_pos_as_xyz
'x,y,z'
loop_
_atom_site_label
_atom_site_type_symbol
_atom_site_fract_x
_atom_site_fract_y
_atom_site_fract_z
_atom_site_occupancy
Li1 Li 0.000 0.000 0.000 1
Sc1 Sc 0.239 0.239 0.661 1
Sc2 Sc 0.761 0.761 0.339 1
Cl1 Cl 0.070 0.070 0.726 1
Cl2 Cl 0.262 0.262 0.333 1
Cl3 Cl 0.381 0.381 0.870 1
Cl4 Cl 0.619 0.619 0.130 1
Cl5 Cl 0.738 0.738 0.667 1
Cl6 Cl 0.930 0.930 0.274 1
# Crystal system: monoclinic
# Density, g/cm³: 1.96
# Symmetry: C2/m (12)
# Calculated volume, Å³ per atom: 29.1



The data favor version P; the next most stable structure lies 124 meV/atom above it.